1.
Density functional theory data (PBE-GGA) for an optimized crystal structure of MgCd4Tc4O12.

POSCAR file:
```
MgCd4Tc4O12
1.0
5.554 0.000 0.000
-0.019 5.732 0.000
-0.071 -0.661 7.989
Mg Cd Tc O
1 4 4 12
Direct
0.000 0.000 0.000 Mg
0.370 0.380 0.617 Cd
0.418 0.288 0.110 Cd
0.868 0.692 0.191 Cd
0.899 0.883 0.617 Cd
0.382 0.820 0.376 Tc
0.404 0.839 0.865 Tc
0.883 0.374 0.858 Tc
0.886 0.300 0.382 Tc
0.004 0.323 0.125 O
0.071 0.675 0.830 O
0.089 0.610 0.437 O
0.175 0.105 0.443 O
0.186 0.147 0.815 O
0.272 0.868 0.125 O
0.496 0.788 0.619 O
0.576 0.501 0.327 O
0.594 0.567 0.936 O
0.683 0.071 0.914 O
0.686 0.005 0.319 O
0.774 0.306 0.621 O
```

## Properties
VASP energy   -6.134 eV/atom
Energy relative to the lowest polymorph listed for this composition   14 meV per atom
Magnetic moment   10.1 μB per formula unit
Calculated volume   12.1 Å³ per atom
ΔE_f (raw)   -1076 meV/atom

2.
Density functional theory data (PBE-GGA) for an optimized crystal structure of MgCd4Tc4O12.

POSCAR file:
```
MgCd4Tc4O12
1.0
5.458 0.000 0.000
-0.006 5.875 0.000
-0.079 -0.829 8.016
Mg Cd Tc O
1 4 4 12
Direct
0.000 0.000 0.000 Mg
0.011 0.124 0.413 Cd
0.011 0.317 0.816 Cd
0.510 0.610 0.938 Cd
0.516 0.604 0.431 Cd
0.004 0.630 0.166 Tc
0.015 0.701 0.642 Tc
0.507 0.146 0.152 Tc
0.518 0.167 0.648 Tc
0.118 0.683 0.402 O
0.185 0.319 0.088 O
0.209 0.990 0.716 O
0.294 0.852 0.103 O
0.329 0.490 0.696 O
0.409 0.183 0.401 O
0.651 0.156 0.903 O
0.688 0.458 0.192 O
0.723 0.889 0.581 O
0.807 0.387 0.579 O
0.808 0.948 0.201 O
0.906 0.684 0.901 O
```

## Properties
VASP energy   -6.148 eV/atom
Energy relative to the lowest polymorph listed for this composition   0 meV per atom
Magnetic moment   10.1 μB per formula unit
Calculated volume   12.2 Å³ per atom
ΔE_f (raw)   -1090 meV/atom

3.
Density functional theory data (PBE-GGA) for an optimized crystal structure of MgCd2TeO6.

POSCAR file:
```
MgCd2TeO6
1.0
5.458 0.000 0.000
0.000 5.572 0.000
-5.436 0.000 7.887
Mg Cd Te O
2 4 2 12
Direct
0.000 0.000 0.000 Mg
0.000 0.500 0.500 Mg
0.235 0.043 0.747 Cd
0.235 0.457 0.247 Cd
0.765 0.543 0.753 Cd
0.765 0.957 0.253 Cd
0.500 0.000 0.500 Te
0.500 0.500 0.000 Te
0.161 0.196 0.449 O
0.161 0.304 0.949 O
0.250 0.714 0.439 O
0.250 0.786 0.939 O
0.368 0.044 0.263 O
0.368 0.456 0.763 O
0.632 0.544 0.237 O
0.632 0.956 0.737 O
0.750 0.214 0.061 O
0.750 0.286 0.561 O
0.839 0.696 0.051 O
0.839 0.804 0.551 O
```

## Properties
VASP energy   -5.073 eV/atom
Magnetic moment   0.0 μB per formula unit
Calculated volume   12.0 Å³ per atom
ΔE_f (raw)   -1441 meV/atom

4.
Density functional theory data (PBE-GGA) for an optimized crystal structure of MgCdTe2O8.

POSCAR file:
```
MgCdTe2O8
1.0
-3.603 3.603 3.322
3.603 -3.603 3.322
3.603 3.603 -3.322
Mg Cd Te O
1 1 2 8
Direct
0.000 0.000 0.000 Mg
0.250 0.750 0.500 Cd
0.500 0.500 0.000 Te
0.750 0.250 0.500 Te
0.310 0.123 0.813 O
0.310 0.497 0.187 O
0.375 0.072 0.303 O
0.503 0.690 0.813 O
0.769 0.072 0.697 O
0.877 0.690 0.187 O
0.928 0.231 0.303 O
0.928 0.625 0.697 O
```

## Properties
VASP energy   -5.119 eV/atom
Magnetic moment   0.0 μB per formula unit
Calculated volume   14.4 Å³ per atom
ΔE_f (raw)   -1080 meV/atom

5.
Density functional theory data (PBE-GGA) for an optimized crystal structure of MgCdTeO6.

POSCAR file:
```
MgCdTeO6
1.0
5.396 0.000 0.000
-2.698 4.673 0.000
0.000 0.000 9.254
Mg Cd Te O
2 2 2 12
Direct
0.333 0.667 0.250 Mg
0.667 0.333 0.750 Mg
0.000 0.000 0.000 Cd
0.000 0.000 0.500 Cd
0.333 0.667 0.750 Te
0.667 0.333 0.250 Te
0.022 0.370 0.637 O
0.022 0.652 0.863 O
0.348 0.370 0.863 O
0.348 0.978 0.637 O
0.370 0.022 0.137 O
0.370 0.348 0.363 O
0.630 0.652 0.637 O
0.630 0.978 0.863 O
0.652 0.022 0.363 O
0.652 0.630 0.137 O
0.978 0.348 0.137 O
0.978 0.630 0.363 O
```

## Properties
VASP energy   -5.039 eV/atom
Magnetic moment   2.0 μB per formula unit
Calculated volume   13.0 Å³ per atom
ΔE_f (raw)   -1105 meV/atom

6.
Density functional theory data (PBE-GGA) for an optimized crystal structure of MgCdTe2O6.

POSCAR file:
```
MgCdTe2O6
1.0
5.157 -5.033 0.000
5.157 5.033 0.000
-3.010 0.000 6.397
Mg Cd Te O
2 2 4 12
Direct
0.240 0.760 0.750 Mg
0.760 0.240 0.250 Mg
0.436 0.564 0.250 Cd
0.564 0.436 0.750 Cd
0.061 0.330 0.774 Te
0.330 0.061 0.274 Te
0.670 0.939 0.726 Te
0.939 0.670 0.226 Te
0.007 0.748 0.518 O
0.126 0.480 0.193 O
0.252 0.993 0.982 O
0.280 0.518 0.845 O
0.480 0.126 0.693 O
0.482 0.720 0.655 O
0.518 0.280 0.345 O
0.520 0.874 0.307 O
0.720 0.482 0.155 O
0.748 0.007 0.018 O
0.874 0.520 0.807 O
0.993 0.252 0.482 O
```

## Properties
VASP energy   -5.235 eV/atom
Magnetic moment   0.0 μB per formula unit
Calculated volume   16.6 Å³ per atom
ΔE_f (raw)   -1381 meV/atom

7.
Density functional theory data (PBE-GGA) for an optimized crystal structure of MgTi2CdO.

POSCAR file:
```
MgTi2CdO
1.0
4.142 0.000 0.000
0.000 4.142 0.000
0.000 0.000 4.470
Mg Ti Cd O
1 2 1 1
Direct
0.000 0.000 0.000 Mg
0.000 0.500 0.500 Ti
0.500 0.000 0.500 Ti
0.500 0.500 0.000 Cd
0.000 0.000 0.500 O
```

## Properties
VASP energy   -5.607 eV/atom
Magnetic moment   0.0 μB per formula unit
Calculated volume   15.3 Å³ per atom
ΔE_f (raw)   -955 meV/atom

8.
Density functional theory data (PBE-GGA) for an optimized crystal structure of MgTi2CdO6.

POSCAR file:
```
MgTi2CdO6
1.0
4.798 -5.267 0.000
4.798 5.267 0.000
-2.540 0.000 5.556
Mg Ti Cd O
2 4 2 12
Direct
0.194 0.806 0.750 Mg
0.806 0.194 0.250 Mg
0.264 0.427 0.305 Ti
0.427 0.264 0.805 Ti
0.573 0.736 0.195 Ti
0.736 0.573 0.695 Ti
0.105 0.895 0.250 Cd
0.895 0.105 0.750 Cd
0.059 0.208 0.170 O
0.154 0.635 0.418 O
0.208 0.059 0.670 O
0.337 0.431 0.036 O
0.365 0.846 0.082 O
0.431 0.337 0.536 O
0.569 0.663 0.464 O
0.635 0.154 0.918 O
0.663 0.569 0.964 O
0.792 0.941 0.330 O
0.846 0.365 0.582 O
0.941 0.792 0.830 O
```

## Properties
VASP energy   -7.361 eV/atom
Magnetic moment   0.0 μB per formula unit
Calculated volume   14.0 Å³ per atom
ΔE_f (raw)   -2556 meV/atom

9.
Density functional theory data (PBE-GGA) for an optimized crystal structure of Mg2TiCdO.

POSCAR file:
```
Mg2TiCdO
1.0
5.063 0.000 0.000
0.000 5.063 0.000
0.000 0.000 5.150
Mg Ti Cd O
2 1 1 1
Direct
0.000 0.500 0.000 Mg
0.500 0.000 0.000 Mg
0.000 0.000 0.500 Ti
0.000 0.000 0.000 Cd
0.500 0.500 0.500 O
```

## Properties
VASP energy   -2.526 eV/atom
Magnetic moment   1.0 μB per formula unit
Calculated volume   26.4 Å³ per atom
ΔE_f (raw)   866 meV/atom

10.
Density functional theory data (PBE-GGA) for an optimized crystal structure of Mg2UCdO6.

POSCAR file:
```
Mg2UCdO6
1.0
2.736 1.580 4.908
-2.736 1.580 4.908
0.000 -3.159 4.908
Mg U Cd O
2 1 1 6
Direct
0.000 0.000 0.000 Mg
0.489 0.489 0.489 Mg
0.696 0.696 0.696 U
0.210 0.210 0.210 Cd
0.097 0.410 0.775 O
0.298 0.874 0.635 O
0.410 0.775 0.097 O
0.635 0.298 0.874 O
0.775 0.097 0.410 O
0.874 0.635 0.298 O
```

## Properties
VASP energy   -7.038 eV/atom
Magnetic moment   0.0 μB per formula unit
Calculated volume   12.7 Å³ per atom
ΔE_f (raw)   -2524 meV/atom

Please write out number 7 again, unchanged.
Density functional theory data (PBE-GGA) for an optimized crystal structure of MgTi2CdO.

POSCAR file:
```
MgTi2CdO
1.0
4.142 0.000 0.000
0.000 4.142 0.000
0.000 0.000 4.470
Mg Ti Cd O
1 2 1 1
Direct
0.000 0.000 0.000 Mg
0.000 0.500 0.500 Ti
0.500 0.000 0.500 Ti
0.500 0.500 0.000 Cd
0.000 0.000 0.500 O
```

## Properties
VASP energy   -5.607 eV/atom
Magnetic moment   0.0 μB per formula unit
Calculated volume   15.3 Å³ per atom
ΔE_f (raw)   -955 meV/atom

VASP energy of number 4 (MgCdTe2O8)? -5.119 eV/atom